Material: Rb3NiO2
Method: DFT, PBE with a Hubbard U
State: optimized geometry

Results
Theoretical density, g cm⁻³: 3.8
Raw total energy, eV per cell: -42.0

Unit cell a=6.3598 b=6.3598 c=7.4325 alpha=90.00 beta=90.00 gamma=90.00
Last column: nearest neighbours and their distance in Å.
Element x y z (fractional)
Rb 0.5000 0.5000 0.0000  2 O 2.70
Rb 0.0000 0.5000 0.7500  4 O 2.95
Rb 0.5000 0.0000 0.2500  4 O 2.95
Rb 0.0000 0.0000 0.5000  2 O 2.70
Rb 0.0000 0.5000 0.2500  4 O 2.95
Rb 0.5000 0.0000 0.7500  4 O 2.95
Ni 0.0000 0.0000 0.0000  2 O 1.80
Ni 0.5000 0.5000 0.5000  2 O 1.80
O 0.6998 0.6998 0.5000  1 Ni 1.80
O 0.8002 0.1998 0.0000  1 Ni 1.80
O 0.1998 0.8002 0.0000  1 Ni 1.80
O 0.3002 0.3002 0.5000  1 Ni 1.80